VASP calculation (PBE-GGA) on TbPm5Bi4 after structural relaxation.

Its energy of formation is -5.5 eV/f.u.

a b c (Å): 19.4021 4.4760 8.7222
angles (deg): 90.00 105.88 90.00
Space group C2/m (No. 12)
Symmetry-distinct sites (fractional):
Tb 0.0000 0.0000 0.0000 (multiplicity 2)
Pm 0.0000 0.0000 0.5000 (multiplicity 2)
Pm 0.1634 0.5000 0.8193 (multiplicity 4)
Pm 0.1783 0.5000 0.3516 (multiplicity 4)
Bi 0.0084 0.5000 0.2537 (multiplicity 4)
Bi 0.1680 0.0000 0.0847 (multiplicity 4)

---

VASP calculation (PBE-GGA) on NpIn2Ge2Pt7 after structural relaxation.

Its energy of formation is -5.4 eV/f.u.

a b c (Å): 5.6216 5.6471 15.0076
angles (deg): 90.00 96.08 90.00
Space group C2/m (No. 12)
Symmetry-distinct sites (fractional):
Np 0.0000 0.0000 0.0000 (multiplicity 2)
In 0.1140 0.0000 0.4093 (multiplicity 4)
Ge 0.0762 0.5000 0.2530 (multiplicity 4)
Pt 0.0000 0.5000 0.0000 (multiplicity 2)
Pt 0.1085 0.5000 0.4157 (multiplicity 4)
Pt 0.2045 0.2504 0.8505 (multiplicity 8)

---

VASP calculation (PBE-GGA) on Ac2CuSn3Rh4 after structural relaxation.

Its energy of formation is -6.3 eV/f.u.

a b c (Å): 4.4708 4.4708 11.0929
angles (deg): 90.00 90.00 90.00
Space group P-4m2 (No. 115)
Symmetry-distinct sites (fractional):
Ac 0.0000 0.5000 0.2420 (multiplicity 2)
Cu 0.5000 0.5000 0.0000 (multiplicity 1)
Sn 0.0000 0.0000 0.0000 (multiplicity 1)
Sn 0.0000 0.5000 0.6275 (multiplicity 2)
Rh 0.0000 0.0000 0.5000 (multiplicity 1)
Rh 0.0000 0.5000 0.8685 (multiplicity 2)
Rh 0.5000 0.5000 0.5000 (multiplicity 1)

---

VASP calculation (PBE-GGA) on Li3YSn2 after structural relaxation.

Its energy of formation is -2.9 eV/f.u.

a b c (Å): 14.0276 4.6417 8.9033
angles (deg): 90.00 118.07 90.00
Space group C2/m (No. 12)
Symmetry-distinct sites (fractional):
Li 0.0516 0.0000 0.3805 (multiplicity 4)
Li 0.0959 0.5000 0.6869 (multiplicity 4)
Li 0.2192 0.5000 0.5383 (multiplicity 4)
Y 0.1400 0.0000 0.0216 (multiplicity 4)
Sn 0.0454 0.5000 0.1886 (multiplicity 4)
Sn 0.2112 0.0000 0.7272 (multiplicity 4)

---

VASP calculation (PBE-GGA) on LaYTeN2 after structural relaxation.

As for the formation energy without anion corrections: 0.03 eV per atom.

a b c (Å): 4.3857 4.3857 6.3103
angles (deg): 90.00 90.00 90.00
Space group P4/mmm (No. 123)
Symmetry-distinct sites (fractional):
La 0.0000 0.0000 0.0000 (multiplicity 1)
Y 0.5000 0.5000 0.5000 (multiplicity 1)
Te 0.0000 0.0000 0.5000 (multiplicity 1)
N 0.0000 0.5000 0.0000 (multiplicity 2)

---

VASP calculation (PBE-GGA) on NaTi2P3O12 after structural relaxation.

As for the formation energy without anion corrections: -2.52 eV per atom.

a b c (Å): 8.6760 8.8017 12.1507
angles (deg): 90.00 91.20 90.00
Space group P2_1 (No. 4)
Symmetry-distinct sites (fractional):
Na 0.0519 0.0000 0.0956 (multiplicity 2)
Na 0.3483 0.7393 0.5781 (multiplicity 2)
Ti 0.0009 0.1586 0.8570 (multiplicity 2)
Ti 0.0087 0.2234 0.3651 (multiplicity 2)
Ti 0.4911 0.2186 0.6405 (multiplicity 2)
Ti 0.4973 0.6574 0.8677 (multiplicity 2)
P 0.1455 0.5727 0.3997 (multiplicity 2)
P 0.1467 0.3118 0.1036 (multiplicity 2)
P 0.2249 0.4428 0.7501 (multiplicity 2)
P 0.2733 0.9432 0.7537 (multiplicity 2)
P 0.3584 0.0698 0.3945 (multiplicity 2)
P 0.3586 0.8052 0.1035 (multiplicity 2)
O 0.0659 0.6712 0.4876 (multiplicity 2)
O 0.0668 0.2496 0.2070 (multiplicity 2)
O 0.0793 0.6171 0.2849 (multiplicity 2)
O 0.0868 0.2149 0.0049 (multiplicity 2)
O 0.0983 0.3452 0.8032 (multiplicity 2)
O 0.1013 0.4786 0.0795 (multiplicity 2)
O 0.1193 0.4001 0.4173 (multiplicity 2)
O 0.1438 0.5712 0.6847 (multiplicity 2)
O 0.1637 0.8736 0.6653 (multiplicity 2)
O 0.1812 0.0884 0.3787 (multiplicity 2)
O 0.1823 0.7771 0.1014 (multiplicity 2)
O 0.1848 0.0403 0.8363 (multiplicity 2)
O 0.3173 0.3459 0.6689 (multiplicity 2)
O 0.3199 0.6036 0.4056 (multiplicity 2)
O 0.3224 0.2925 0.1168 (multiplicity 2)
O 0.3284 0.5101 0.8424 (multiplicity 2)
O 0.3628 0.8168 0.8144 (multiplicity 2)
O 0.3781 0.9785 0.0855 (multiplicity 2)
O 0.3920 0.0392 0.6914 (multiplicity 2)
O 0.3953 0.9023 0.4217 (multiplicity 2)
O 0.4133 0.1743 0.4904 (multiplicity 2)
O 0.4237 0.7573 0.2170 (multiplicity 2)
O 0.4365 0.7083 0.0148 (multiplicity 2)
O 0.4443 0.1225 0.2913 (multiplicity 2)

---

VASP calculation (PBE-GGA) on ReGeRuS2 after structural relaxation.

As for the formation energy without anion corrections: 1.28 eV per atom.

a b c (Å): 4.4730 4.4730 5.0286
angles (deg): 90.00 90.00 90.00
Space group P4/mmm (No. 123)
Symmetry-distinct sites (fractional):
Re 0.0000 0.0000 0.0000 (multiplicity 1)
Ge 0.5000 0.5000 0.0000 (multiplicity 1)
Ru 0.5000 0.5000 0.5000 (multiplicity 1)
S 0.0000 0.5000 0.5000 (multiplicity 2)

---

VASP calculation (PBE-GGA) on Al3Co5 after structural relaxation.

Its energy of formation is -1.8 eV/f.u.

a b c (Å): 9.0588 9.0588 4.6421
angles (deg): 90.00 90.00 90.00
Space group I4/mcm (No. 140)
Symmetry-distinct sites (fractional):
Al 0.0000 0.0000 0.2500 (multiplicity 4)
Al 0.1711 0.3289 0.0000 (multiplicity 8)
Co 0.0000 0.5000 0.2500 (multiplicity 4)
Co 0.0724 0.2296 0.5000 (multiplicity 16)

---

VASP calculation (PBE-GGA) on TbCS after structural relaxation.

As for the formation energy without anion corrections: -0.55 eV per atom.

a b c (Å): 7.1383 2.9691 9.6300
angles (deg): 90.00 90.00 90.00
Space group Pnma (No. 62)
Symmetry-distinct sites (fractional):
Tb 0.2433 0.2500 0.1334 (multiplicity 4)
C 0.0371 0.2500 0.5121 (multiplicity 4)
S 0.0907 0.2500 0.8471 (multiplicity 4)

---

VASP calculation (PBE-GGA) on TmNi2Ir2 after structural relaxation.

Its energy of formation is -1.1 eV/f.u.

a b c (Å): 3.8365 3.8365 21.9536
angles (deg): 90.00 90.00 90.00
Space group I4/mmm (No. 139)
Symmetry-distinct sites (fractional):
Tm 0.0000 0.0000 0.1253 (multiplicity 4)
Ni 0.0000 0.0000 0.3232 (multiplicity 4)
Ni 0.0000 0.5000 0.0000 (multiplicity 4)
Ir 0.0000 0.0000 0.4289 (multiplicity 4)
Ir 0.0000 0.5000 0.2500 (multiplicity 4)

---

VASP calculation (PBE-GGA) on Tb2Sm3Ho4 after structural relaxation.

Its energy of formation is 0.9 eV/f.u.

a b c (Å): 16.5352 11.5808 6.0619
angles (deg): 90.00 96.74 90.00
Space group C2/c (No. 15)
Symmetry-distinct sites (fractional):
Tb 0.1047 0.1125 0.2846 (multiplicity 8)
Sm 0.0000 0.1503 0.7500 (multiplicity 4)
Sm 0.1659 0.3487 0.5839 (multiplicity 8)
Ho 0.0621 0.3892 0.0452 (multiplicity 8)
Ho 0.2303 0.1111 0.8774 (multiplicity 8)

---

VASP calculation (PBE-GGA) on Zn2InBr after structural relaxation.

As for the formation energy without anion corrections: -0.06 eV per atom.

a b c (Å): 4.8073 5.2648 7.4541
angles (deg): 90.00 90.00 90.00
Space group Cmm2 (No. 35)
Symmetry-distinct sites (fractional):
Zn 0.0000 0.0000 0.0000 (multiplicity 2)
Zn 0.0000 0.5000 0.1756 (multiplicity 2)
In 0.0000 0.0000 0.4090 (multiplicity 2)
Br 0.0000 0.5000 0.7760 (multiplicity 2)